No. 1
Compound: SrLa2Tc
Source: the Alexandria database
Functional: PBE
Structure: relaxed

Unit cell a=3.618 b=3.616 c=10.895 alpha=71.55 beta=90.00 gamma=90.00
Fractional coordinates of all 4 atoms:
La (0.000, 0.074, 0.915)
La (0.000, 0.426, 0.585)
Sr (0.500, 0.250, 0.250)
Tc (0.500, 0.750, 0.750)

Properties
As for the space group: P2/m. The calculation puts the excess energy over the best structure of this formula in the dataset at 0.13 kcal/mol of atoms. The calculation puts the total energy at -21.47 eV per cell. As for the crystal system: monoclinic. The value obtained for the energy relative to the elements is 108 meV/atom. The calculation puts the magnetic moment at 0.00 μB/f.u. The value obtained for the density is 5.69 g cm⁻³.

=====

No. 2
Compound: Ba2CrSi
Source: the Alexandria database
Functional: PBE
Structure: relaxed

Unit cell a=5.988 b=5.988 c=5.988 alpha=130.11 beta=130.11 gamma=73.24
Each line ends with the local moment (μB).
Fractional coordinates of all 4 atoms:
Ba (0.000, 0.000, 0.000)  0.02
Ba (0.250, 0.750, 0.500)  0.08
Cr (0.500, 0.500, 0.000)  4.02
Si (0.750, 0.250, 0.500)  -0.06

Properties
As for the space group: I-4m2. The calculation puts the excess energy over the best structure of this formula in the dataset at 7.82 kcal/mol of atoms. The calculation puts the total energy at -17.16 eV per cell. As for the crystal system: tetragonal. The calculation puts the magnetic moment at 4.79 μB/f.u. The calculation puts the uncorrected formation energy at 0.4319 eV per atom. The value obtained for the density is 4.80 g cm⁻³.

=====

No. 3
Compound: LaPr3Ho8
Source: the Alexandria database
Functional: PBE
Structure: relaxed

Unit cell a=8.543 b=8.545 c=8.534 alpha=95.49 beta=136.53 gamma=100.25
Fractional coordinates of all 12 atoms:
La (0.838, 0.000, 0.837)
Pr (0.496, 0.750, 0.247)
Pr (0.496, 0.250, 0.747)
Pr (0.838, 0.500, 0.337)
Ho (0.500, 0.170, 0.331)
Ho (0.500, 0.669, 0.831)
Ho (0.161, 0.831, 0.330)
Ho (0.163, 0.332, 0.831)
Ho (0.171, 0.419, 0.253)
Ho (0.833, 0.081, 0.252)
Ho (0.833, 0.580, 0.751)
Ho (0.171, 0.918, 0.752)

Properties
As for the space group: P1. The calculation puts the total energy at -55.58 eV per cell. As for the crystal system: triclinic. The value obtained for the energy relative to the elements is 26 meV/atom. The calculation puts the magnetic moment at 0.00 μB/f.u. The value obtained for the density is 7.85 g cm⁻³.